[1]
The following is a PBE calculation of HfTa2HRh after structural relaxation, from Alexandria.

The space group is P4/mmm (No. 123) and the conventional cell measures 3.9950, 3.9950 and 4.6584 Å, with angles of 90.00, 90.00 and 90.00 degrees. The distinct sites, in fractional coordinates, are Hf at (0.0000, 0.0000, 0.0000), Ta at (0.0000, 0.5000, 0.5000), H at (0.0000, 0.0000, 0.5000) and Rh at (0.5000, 0.5000, 0.0000).

For the spin magnetization, the calculation gives 0.0 μB/cell. The volume is 74 Å³ per cell. For the total energy, the calculation gives -9.0702 eV/atom. The distance to the lowest polymorph of the same formula comes out at 0.00 eV per formula unit.

[2]
The following is a PBE calculation of PrSmCu2Ge2 after structural relaxation, from Alexandria.

The space group is P-3m1 (No. 164) and the conventional cell measures 4.3030, 4.3030 and 7.7912 Å, with angles of 90.00, 90.00 and 120.00 degrees. The distinct sites, in fractional coordinates, are Pr at (0.0000, 0.0000, 0.0000), Sm at (0.0000, 0.0000, 0.5000), Cu at (0.3333, 0.6667, 0.7403) and Ge at (0.3333, 0.6667, 0.2561).

The calculation puts the energy relative to the elements at -15.3 kcal/mol of atoms. For the spin magnetization, the calculation gives 0.0 μB/cell. The volume is 125 Å³ per cell. For the total energy, the calculation gives -5.1508 eV/atom.

[3]
The following is a PBE calculation of NiRh2Br after structural relaxation, from Alexandria.

The space group is F-43m (No. 216) and the conventional cell measures 6.2178, 6.2178 and 6.2178 Å, with angles of 90.00, 90.00 and 90.00 degrees. The distinct sites, in fractional coordinates, are Ni at (0.0000, 0.0000, 0.0000), Rh at (0.0000, 0.0000, 0.5000), Rh at (0.2500, 0.2500, 0.7500) and Br at (0.2500, 0.2500, 0.2500).

For the spin magnetization, the calculation gives 0.0 μB/cell. Its uncorrected formation energy is 0.69 eV per atom. The volume is 240 Å³ per cell. For the total energy, the calculation gives -4.8483 eV/atom. The distance to the lowest polymorph of the same formula comes out at 1.35 eV per formula unit.

[4]
The following is a PBE calculation of PrTm3Mn after structural relaxation, from Alexandria.

The space group is Pm-3m (No. 221) and the conventional cell measures 5.2746, 5.2746 and 5.2746 Å, with angles of 90.00, 90.00 and 90.00 degrees. The distinct sites, in fractional coordinates, are Pr at (0.0000, 0.0000, 0.0000), Tm at (0.0000, 0.5000, 0.5000) and Mn at (0.5000, 0.5000, 0.5000).

The calculation puts the energy relative to the elements at 4.4 kcal/mol of atoms. For the spin magnetization, the calculation gives 0.9 μB/cell. The volume is 147 Å³ per cell. For the total energy, the calculation gives -5.2826 eV/atom.